Record 1
{"formula": "La2CeF11", "functional": "GGA-PBE", "state": "optimized geometry", "lattice_angstrom": [[-7.887, -1.217, -3.745], [-0.509, -4.022, -7.996], [-4.301, -7.773, 1.207]], "species": ["F", "F", "F", "F", "F", "F", "F", "F", "Ce", "F", "F", "F", "F", "Ce", "F", "La", "F", "F", "F", "F", "La", "F", "La", "F", "F", "F", "La", "F"], "fractional_positions": [[0.051, 0.190, 0.521], [0.558, 0.212, 0.064], [0.394, 0.682, 0.318], [0.894, 0.818, 0.182], [0.551, 0.021, 0.690], [0.166, 0.064, 0.212], [0.500, 0.500, 0.500], [0.442, 0.788, 0.936], [0.750, 0.750, 0.750], [0.762, 0.479, 0.810], [0.106, 0.182, 0.818], [0.000, 0.000, 0.000], [0.262, 0.310, 0.979], [0.250, 0.250, 0.250], [0.334, 0.288, 0.436], [0.169, 0.808, 0.192], [0.834, 0.936, 0.788], [0.606, 0.318, 0.682], [0.666, 0.712, 0.564], [0.942, 0.436, 0.288], [0.331, 0.308, 0.692], [0.949, 0.810, 0.479], [0.669, 0.692, 0.308], [0.238, 0.521, 0.190], [0.058, 0.564, 0.712], [0.449, 0.979, 0.310], [0.831, 0.192, 0.808], [0.738, 0.690, 0.021]], "vol_a3_per_atom": 19.1, "dft_energy_ev_per_atom": -6.254}

---

Record 2
{"formula": "Pm2Al3Cu4Sn", "functional": "GGA-PBE", "state": "optimized geometry", "lattice_angstrom": [[-1.846, 2.594, -2.848], [-2.910, 1.130, 2.915], [6.079, 7.709, 3.080]], "species": ["Cu", "Al", "Al", "Pm", "Cu", "Cu", "Pm", "Al", "Sn", "Cu"], "fractional_positions": [[0.500, 0.000, 0.644], [0.000, 0.000, 0.500], [0.500, 0.000, 0.880], [0.000, 0.500, 0.762], [0.000, 0.500, 0.356], [0.500, 0.500, 0.000], [0.500, 0.000, 0.238], [0.000, 0.500, 0.120], [0.500, 0.500, 0.500], [0.000, 0.000, 0.000]], "vol_a3_per_atom": 18.8, "dft_energy_ev_per_atom": -4.511, "dos_ef_per_ev_atom": 0.633}

---

Record 3
{"formula": "Be3TeH", "functional": "GGA-PBE", "state": "optimized geometry", "lattice_angstrom": [[4.841, 0.000, 0.000], [0.000, 4.841, 0.000], [0.000, 0.000, 4.841]], "species": ["Be", "Be", "H", "Be", "Te"], "fractional_positions": [[0.000, 0.000, 0.500], [0.500, 0.000, 0.000], [0.500, 0.500, 0.500], [0.000, 0.500, 0.000], [0.000, 0.000, 0.000]], "vol_a3_per_atom": 22.7, "de_polymorph_kj_per_mol_atoms": 93.6, "dos_ef_per_ev_atom": 0.332}

---

Record 4
{"formula": "CaLa3", "functional": "GGA-PBE", "state": "optimized geometry", "lattice_angstrom": [[6.546, 0.003, 0.000], [2.234, 6.152, 0.000], [-4.390, -3.077, 3.755]], "species": ["Ca", "La", "La", "La"], "fractional_positions": [[0.000, 0.000, 0.000], [0.750, 0.250, 0.500], [0.250, 0.750, 0.500], [0.500, 0.500, 0.000]], "vol_a3_per_atom": 37.8, "dft_energy_ev_per_atom": -4.129, "dos_ef_per_ev_atom": 1.598}

---

Record 5
{"formula": "TbHfAl6", "functional": "GGA-PBE", "state": "optimized geometry", "lattice_angstrom": [[-2.534, 1.508, -2.962], [-1.865, -3.728, -0.302], [-5.499, 2.275, 5.861]], "species": ["Al", "Tb", "Al", "Al", "Al", "Al", "Hf", "Al"], "fractional_positions": [[0.500, 0.500, 0.000], [0.000, 0.000, 0.000], [0.000, 0.500, 0.740], [0.500, 0.000, 0.740], [0.500, 0.500, 0.500], [0.000, 0.500, 0.260], [0.000, 0.000, 0.500], [0.500, 0.000, 0.260]], "vol_a3_per_atom": 18.2, "dft_energy_ev_per_atom": -5.025, "dos_ef_per_ev_atom": 0.483}

---

Record 6
{"formula": "Y2RuPb", "functional": "GGA-PBE", "state": "optimized geometry", "lattice_angstrom": [[-5.450, -2.660, 5.301], [5.374, 0.832, 5.942], [-1.033, 2.081, 6.102]], "species": ["Y", "Y", "Pb", "Pb", "Ru", "Ru", "Y", "Y"], "fractional_positions": [[0.567, 0.125, 0.250], [0.183, 0.625, 0.250], [0.000, 0.000, 0.000], [0.750, 0.250, 0.500], [0.500, 0.500, 0.000], [0.250, 0.750, 0.500], [0.375, 0.433, 0.750], [0.875, 0.817, 0.750]], "vol_a3_per_atom": 25.9, "dft_energy_ev_per_atom": -6.515, "dos_ef_per_ev_atom": 0.304}

---

Record 7
{"formula": "La3Sm4Se8", "functional": "GGA-PBE", "state": "optimized geometry", "lattice_angstrom": [[8.416, -0.115, -0.165], [-4.103, 7.395, 0.151], [-4.103, -2.425, 6.988]], "species": ["Se", "Se", "Sm", "La", "Se", "Sm", "La", "Se", "Se", "Se", "Se", "Sm", "La", "Se", "Sm"], "fractional_positions": [[0.500, 0.753, 0.247], [0.503, 0.755, 0.755], [0.000, 0.500, 0.000], [0.500, 0.000, 0.500], [0.500, 0.247, 0.753], [0.000, 0.000, 0.000], [0.500, 0.500, 0.500], [0.000, 0.751, 0.249], [0.000, 0.249, 0.751], [0.006, 0.753, 0.753], [0.994, 0.247, 0.247], [0.000, 0.000, 0.500], [0.500, 0.500, 0.000], [0.497, 0.245, 0.245], [0.500, 0.000, 0.000]], "vol_a3_per_atom": 28.5, "dft_energy_ev_per_atom": -6.028, "dos_ef_per_ev_atom": 0.526}

---

Record 8
{"formula": "Tm8Mg2Ga", "functional": "GGA-PBE", "state": "optimized geometry", "lattice_angstrom": [[5.249, 0.000, 0.000], [0.000, 6.912, 0.123], [-2.625, -2.808, 8.389]], "species": ["Tm", "Tm", "Tm", "Tm", "Tm", "Ga", "Mg", "Tm", "Tm", "Tm", "Mg"], "fractional_positions": [[0.595, 0.445, 0.189], [0.982, 0.229, 0.964], [0.018, 0.771, 0.036], [0.405, 0.555, 0.811], [0.658, 0.957, 0.316], [0.500, 0.000, 0.000], [0.816, 0.291, 0.631], [0.342, 0.043, 0.684], [0.804, 0.720, 0.607], [0.196, 0.280, 0.393], [0.184, 0.709, 0.369]], "vol_a3_per_atom": 27.8, "dft_energy_ev_per_atom": -3.860, "dos_ef_per_ev_atom": 1.052}